1.
A plane-wave DFT calculation with PBE-GGA was carried out for crystalline SrLiHg2Au at its relaxed geometry.

Computed properties:
Formation energy in eV/atom: -0.370

Geometry as CIF:
```
data_SrLiHg2Au
_chemical_formula_sum 'Sr1 Li1 Hg2 Au1'
_cell_length_a 5.008
_cell_length_b 5.008
_cell_length_c 4.976
_cell_angle_alpha 90.00
_cell_angle_beta 90.00
_cell_angle_gamma 90.00
_symmetry_space_group_name_H-M 'P 4/m m m'
_symmetry_Int_Tables_number 123
_symmetry_space_group_name_Hall '-P 4 2'
loop_
_atom_site_label
_atom_site_type_symbol
_atom_site_fract_x
_atom_site_fract_y
_atom_site_fract_z
Sr1 Sr 0.000 0.000 0.000
Li1 Li 0.500 0.500 0.500
Hg1 Hg 0.000 0.500 0.500
Au1 Au 0.500 0.500 0.000
```

2.
A plane-wave DFT calculation with PBE-GGA was carried out for crystalline ReTc2O8 at its relaxed geometry.

Computed properties:
ΔE_f (raw) in meV/atom: -1177

Geometry as CIF:
```
data_ReTc2O8
_chemical_formula_sum 'Re2 Tc4 O16'
_cell_length_a 9.018
_cell_length_b 8.485
_cell_length_c 5.009
_cell_angle_alpha 90.00
_cell_angle_beta 94.45
_cell_angle_gamma 90.00
_symmetry_space_group_name_H-M 'C 1 2/m 1'
_symmetry_Int_Tables_number 12
loop_
_symmetry_equiv_pos_as_xyz
'x,y,z'
'-x,-y,-z'
'-x,y,-z'
'x,-y,z'
'x+1/2,y+1/2,z'
'-x+1/2,-y+1/2,-z'
'-x+1/2,y+1/2,-z'
'x+1/2,-y+1/2,z'
loop_
_atom_site_label
_atom_site_type_symbol
_atom_site_fract_x
_atom_site_fract_y
_atom_site_fract_z
Re1 Re 0.000 0.000 0.000
Tc1 Tc 0.211 0.000 0.657
O1 O 0.101 0.500 0.274
O2 O 0.112 0.167 0.804
O3 O 0.153 0.000 0.300
```

3.
A plane-wave DFT calculation with PBE-GGA was carried out for crystalline Be2TeH at its relaxed geometry.

Computed properties:
Excess energy over the best structure of this formula in the dataset in eV per atom: 0.562

Geometry as CIF:
```
data_Be2TeH
_chemical_formula_sum 'Be8 Te4 H4'
_cell_length_a 5.990
_cell_length_b 5.990
_cell_length_c 5.990
_cell_angle_alpha 90.00
_cell_angle_beta 90.00
_cell_angle_gamma 90.00
_symmetry_space_group_name_H-M 'F m -3 m'
_symmetry_Int_Tables_number 225
_symmetry_space_group_name_Hall '-F 4 2 3'
loop_
_atom_site_label
_atom_site_type_symbol
_atom_site_fract_x
_atom_site_fract_y
_atom_site_fract_z
Be1 Be 0.250 0.250 0.250
Te1 Te 0.000 0.000 0.000
H1 H 0.000 0.000 0.500
```

4.
A plane-wave DFT calculation with PBE-GGA was carried out for crystalline HoBe2Ru at its relaxed geometry.

Computed properties:
Excess energy over the best structure of this formula in the dataset in eV per atom: 0.037
Formation energy in eV/atom: -0.206

Geometry as CIF:
```
data_HoBe2Ru
_chemical_formula_sum 'Ho1 Be2 Ru1'
_cell_length_a 3.094
_cell_length_b 3.094
_cell_length_c 5.924
_cell_angle_alpha 90.00
_cell_angle_beta 90.00
_cell_angle_gamma 90.00
_symmetry_space_group_name_H-M 'P 4/m m m'
_symmetry_Int_Tables_number 123
_symmetry_space_group_name_Hall '-P 4 2'
loop_
_atom_site_label
_atom_site_type_symbol
_atom_site_fract_x
_atom_site_fract_y
_atom_site_fract_z
Ho1 Ho 0.000 0.000 0.000
Be1 Be 0.500 0.500 0.326
Ru1 Ru 0.000 0.000 0.500
```

no.,total DFT energy (no corrections) (eV/atom)
1,-1.866
2,-7.799
3,-2.596
4,-5.533